No. 1
A relaxed LiZr5P6 crystal, computed with PBE-GGA.

Cell lengths 6.479, 6.478, 6.473 Å; angles 59.97, 80.40, 70.54 degrees
Sites, in units of the cell vectors:
P 0.752 0.083 0.329
P 0.248 0.588 0.329
P 0.246 0.246 0.000
P 0.754 0.754 0.000
P 0.752 0.412 0.671
P 0.248 0.917 0.671
Zr 0.500 0.165 0.670
Zr 0.000 0.334 0.332
Zr 0.500 0.500 0.000
Zr 0.000 0.666 0.668
Zr 0.500 0.835 0.330
Li 0.000 0.000 0.000

Computed properties:
Calculated formation energy: -1.222 eV/atom
ρ: 4.86 g cm⁻³
N(E_F): 5.24 states/eV/f.u.
SG: C2/m (12)
Crystal system: monoclinic



No. 2
A relaxed LiZrP2 crystal, computed with PBE-GGA.

Cell lengths 5.243, 5.243, 5.243 Å; angles 138.48, 138.48, 60.17 degrees
Sites, in units of the cell vectors:
Li 0.750 0.250 0.500
P 0.000 0.000 0.000
P 0.250 0.750 0.500
Zr 0.500 0.500 0.000

Computed properties:
Calculated formation energy: -0.675 eV/atom
ρ: 4.24 g cm⁻³
N(E_F): 1.52 states/eV/f.u.
SG: I-4m2 (119)
Crystal system: tetragonal



No. 3
A relaxed Li3ZrP crystal, computed with PBE-GGA.

Cell lengths 5.022, 5.022, 5.022 Å; angles 90.00, 90.00, 90.00 degrees
Each line ends with the local moment (μB).
Sites, in units of the cell vectors:
P 0.500 0.500 0.500  -0.17
Zr 0.000 0.000 0.000  1.96
Li 0.000 0.500 0.000  0.06
Li 0.000 0.000 0.500  0.05
Li 0.500 0.000 0.000  0.08

Computed properties:
Calculated formation energy: 1.378 eV/atom
ρ: 1.88 g cm⁻³
N(E_F): 3.40 states/eV/f.u.
SG: Pm-3m (221)
Crystal system: cubic



No. 4
A relaxed Li2ZrP crystal, computed with PBE-GGA.

Cell lengths 5.887, 5.887, 5.887 Å; angles 145.61, 141.18, 52.82 degrees
Sites, in units of the cell vectors:
Li 0.969 0.969 0.000
Li 0.531 0.531 0.000
P 0.750 0.250 0.500
Zr 0.250 0.750 0.500

Computed properties:
Calculated formation energy: -0.416 eV/atom
ρ: 3.15 g cm⁻³
N(E_F): 2.96 states/eV/f.u.
SG: Immm (71)
Crystal system: orthorhombic



No. 5
A relaxed LiZrP2 crystal, computed with PBE-GGA.

Cell lengths 6.776, 6.776, 5.627 Å; angles 52.98, 52.98, 90.00 degrees
Sites, in units of the cell vectors:
P 0.606 0.125 0.250
P 0.144 0.625 0.250
P 0.375 0.394 0.750
P 0.875 0.856 0.750
Zr 0.000 0.000 0.000
Zr 0.750 0.250 0.500
Li 0.500 0.500 0.000
Li 0.250 0.750 0.500

Computed properties:
Calculated formation energy: -0.537 eV/atom
ρ: 3.92 g cm⁻³
N(E_F): 1.97 states/eV/f.u.
SG: I-42d (122)
Crystal system: tetragonal



No. 6
A relaxed Li2ZrP crystal, computed with PBE-GGA.

Cell lengths 9.710, 9.710, 9.710 Å; angles 17.41, 17.41, 17.41 degrees
Sites, in units of the cell vectors:
Li 0.982 0.982 0.982
Li 0.518 0.518 0.518
P 0.250 0.250 0.250
Zr 0.750 0.750 0.750

Computed properties:
Calculated formation energy: 0.000 eV/atom
ρ: 3.16 g cm⁻³
N(E_F): 3.63 states/eV/f.u.
SG: R-3m (166)
Crystal system: trigonal



> Look up the ρ of the sixth one.

3.16 g cm⁻³



> Number 4 is which compound?

Li2ZrP



> Look up the calculated formation energy of the first one.

-1.222 eV/atom